The following is a PBE calculation of PrMg4SiPd2 after structural relaxation, from OQMD.

The total magnetization comes out at 0.00 μB/atom. Its volume is 30.41 Å³/atom. The calculation puts the total DFT energy (no corrections) at -3.01 eV per atom.

The space group is Amm2 (No. 38) and the conventional cell measures 6.167, 2.904 and 27.167 Å, with angles of 90.00, 90.00 and 90.00 degrees. The inequivalent atoms are Pr at (0.000, 0.000, 0.000), Mg at (0.260, 0.000, 0.108), Mg at (0.264, 0.000, 0.829), Si at (0.000, 0.000, 0.750), Pd at (0.000, 0.000, 0.182) and Pd at (0.000, 0.000, 0.902).